BaScPb | GGA-PBE | optimized geometry

Cell lengths 7.7700, 7.7700, 7.7700 Å; angles 90.00, 90.00, 90.00 degrees
Last column: nearest neighbours and their distance in Å.
Element x y z (fractional)
1 Ba 0.0000 0.0000 0.0000  4 Pb 3.36
2 Ba 0.0000 0.5000 0.5000  4 Pb 3.36
3 Ba 0.5000 0.0000 0.5000  4 Pb 3.36
4 Ba 0.5000 0.5000 0.0000  4 Pb 3.36
5 Sc 0.0000 0.0000 0.5000  4 Pb 3.36
6 Sc 0.0000 0.5000 0.0000  4 Pb 3.36
7 Sc 0.5000 0.0000 0.0000  4 Pb 3.36
8 Sc 0.5000 0.5000 0.5000  4 Pb 3.36
9 Pb 0.2500 0.2500 0.2500  4 Ba 3.36, 4 Sc 3.36
10 Pb 0.2500 0.7500 0.7500  4 Ba 3.36, 4 Sc 3.36
11 Pb 0.7500 0.2500 0.7500  4 Ba 3.36, 4 Sc 3.36
12 Pb 0.7500 0.7500 0.2500  4 Ba 3.36, 4 Sc 3.36

ΔH_f (0 K) ... -51 meV per atom
Uncorrected energy ... -12.1 eV/f.u.